The following is a DFT calculation (GGA-PBE) of Th3Mn3B8 after structural relaxation.

ΔE_f ... -0.2486 eV/atom
E_tot ... -7.62 eV per atom

Cell lengths 3.1972, 8.0047, 8.0047 Å; angles 62.35, 78.48, 78.48 degrees
Fractional positions:
1 Th 0.5000 0.5000 0.5000
2 Th 0.7703 0.2297 0.2297
3 Th 0.2297 0.7703 0.7703
4 Mn 0.5000 0.0000 0.0000
5 Mn 0.0000 0.8140 0.1860
6 Mn 0.0000 0.1860 0.8140
7 B 0.6184 0.1011 0.6622
8 B 0.3816 0.8989 0.3378
9 B 0.6184 0.6622 0.1011
10 B 0.3816 0.3378 0.8989
11 B 0.8688 0.8294 0.4329
12 B 0.1312 0.1706 0.5671
13 B 0.8688 0.4329 0.8294
14 B 0.1312 0.5671 0.1706